[1]
The following is a PBE-GGA calculation of an optimized crystal structure of Ca2Ga4Rh3, from Alexandria via LeMat-Bulk.

```
Ca2Ga4Rh3
1.0
5.577 -0.115 0.000
-2.694 4.885 0.000
-1.442 -2.385 6.318
Ca Ga Rh
2 4 3
Direct
0.625 0.625 0.251 Ca
0.375 0.375 0.749 Ca
0.016 0.669 0.685 Ga
0.669 0.016 0.685 Ga
0.984 0.331 0.315 Ga
0.331 0.984 0.315 Ga
0.500 0.000 0.000 Rh
0.000 0.000 0.000 Rh
0.000 0.500 0.000 Rh
```

The space-group type is Fmmm, No. 69. Its energy of formation is -0.57 eV per atom. The density of states at the Fermi level comes out at 6.62 states/eV/f.u.

***

[2]
The following is a PBE-GGA calculation of an optimized crystal structure of K2CuMo, from Alexandria via LeMat-Bulk.

```
K2CuMo
1.0
3.549 0.000 0.000
0.000 3.549 0.000
0.000 0.000 10.014
Cu K Mo
1 2 1
Direct
0.500 0.500 0.750 Cu
0.000 0.000 0.969 K
0.000 0.000 0.531 K
0.500 0.500 0.250 Mo
```

The space-group type is P4/mmm, No. 123. Its energy of formation is 1.37 eV per atom. The calculation puts the energy relative to the lowest polymorph listed for this composition at 501.4 meV per atom. The density of states at the Fermi level comes out at 2.10 states/eV/f.u.

***

[3]
The following is a PBE-GGA calculation of an optimized crystal structure of La2CdGaPd6, from Alexandria via LeMat-Bulk.

```
La2CdGaPd6
1.0
8.996 0.073 0.024
-0.046 5.609 0.067
4.302 2.784 4.073
La Cd Ga Pd
2 1 1 6
Direct
0.255 0.749 0.502 La
0.745 0.251 0.498 La
0.500 0.500 0.000 Cd
0.000 0.000 0.000 Ga
0.284 0.798 0.906 Pd
0.714 0.703 0.098 Pd
0.062 0.246 0.506 Pd
0.716 0.202 0.094 Pd
0.286 0.297 0.902 Pd
0.938 0.754 0.494 Pd
```

The space-group type is P-1, No. 2. Its energy of formation is -0.65 eV per atom. The density of states at the Fermi level comes out at 4.34 states/eV/f.u.

***

[4]
The following is a PBE-GGA calculation of an optimized crystal structure of Pu2SiC, from Alexandria via LeMat-Bulk.

```
Pu2SiC
1.0
3.064 0.000 0.000
0.000 3.064 0.000
0.000 0.000 7.206
Si C Pu
1 1 2
Direct
0.500 0.500 0.500 Si
0.500 0.500 0.000 C
0.000 0.000 0.802 Pu
0.000 0.000 0.198 Pu
```

The space-group type is P4/mmm, No. 123. The calculation puts the energy relative to the lowest polymorph listed for this composition at 0.0 meV per atom. For the uncorrected formation energy, the calculation gives -0.036 eV/atom. The density of states at the Fermi level comes out at 7.65 states/eV/f.u.